This record from the Open Quantum Materials Database describes a relaxed structure of PrNd3Ho2CoTe2. The functional is GGA-PBE.

The structure in extended XYZ format:
```
9
Lattice="3.999 0.000 0.000 0.000 7.474 4.229 0.000 -7.474 4.229" Properties=species:S:1:pos:R:3 pbc="T T T"
Co 0.000 0.000 8.227
Ho 2.000 5.739 3.262
Ho 2.000 -5.739 3.262
Nd 0.000 3.041 1.742
Nd 0.000 -3.041 1.742
Nd 0.000 0.000 5.063
Pr 2.000 0.000 2.000
Te 2.000 2.530 4.267
Te 2.000 -2.530 4.267
```

Computed properties:
total DFT energy (no corrections): -5.319 eV/atom